A plane-wave DFT calculation with PBE with a Hubbard U was carried out for an optimized crystal structure of LiSmW2O8.

Unit cell a=5.0960 b=6.0787 c=11.1575 alpha=90.00 beta=113.91 gamma=90.00
Element x y z (fractional)
Li (0.0000, 0.2389, 0.2500)
Li (0.0000, 0.7611, 0.7500)
Sm (0.5000, 0.3298, 0.7500)
Sm (0.5000, 0.6702, 0.2500)
W (0.2648, 0.1682, 0.0143)
W (0.2648, 0.8318, 0.5143)
W (0.7352, 0.1682, 0.4857)
W (0.7352, 0.8318, 0.9857)
O (0.1516, 0.1102, 0.5951)
O (0.1516, 0.8898, 0.0951)
O (0.2312, 0.3520, 0.1370)
O (0.2312, 0.6480, 0.6370)
O (0.2813, 0.3660, 0.8944)
O (0.2813, 0.6340, 0.3944)
O (0.3438, 0.0838, 0.3906)
O (0.3438, 0.9162, 0.8906)
O (0.6562, 0.0838, 0.1094)
O (0.6562, 0.9162, 0.6094)
O (0.7187, 0.3660, 0.6056)
O (0.7187, 0.6340, 0.1056)
O (0.7688, 0.3520, 0.3630)
O (0.7688, 0.6480, 0.8630)
O (0.8484, 0.1102, 0.9049)
O (0.8484, 0.8898, 0.4049)

## Properties
- Polymorph energy (0 for the lowest one): 1 meV/atom
- M_tot: 0.000 μB per atom
- E_tot: -179.0 eV for the cell shown